DFT (PBE with a Hubbard U) results for crystalline Rb3Pu2CrO9 at its relaxed geometry.

Unit cell a=5.9170 b=5.9170 c=7.2720 alpha=90.00 beta=90.00 gamma=120.00
Closest atoms and distances in Å follow each position.
Space group P-3m1 (No. 164)
Unique sites:
1 Rb 0.0000 0.0000 0.0000 [1 per cell]  12 O 2.96
2 Rb 0.3333 0.6667 0.6632 [2 per cell]  12 O 2.95-2.99
3 Pu 0.3333 0.6667 0.1786 [2 per cell]  6 O 2.06-2.15
4 Cr 0.0000 0.0000 0.5000 [1 per cell]  6 O 2.08
5 O 0.0000 0.5000 0.0000 [3 per cell]  2 Pu 2.15
6 O 0.1658 0.3317 0.3341 [6 per cell]  1 Pu 2.06, 1 Cr 2.08

Computed properties:
The uncorrected energy is -116.54 eV per formula unit.